Record 1
First-principles (PBE) data for an optimized crystal structure of Th4SbRuSe2, as listed in the Alexandria database. Values from VASP.

Cell and atoms, written as Quantum ESPRESSO input:
```
&SYSTEM
  ibrav = 0, nat = 8, ntyp = 4
/
ATOMIC_SPECIES
Th 232.04 Th.upf
Sb 121.76 Sb.upf
Ru 101.07 Ru.upf
Se 78.96 Se.upf
ATOMIC_POSITIONS angstrom
Th 1.130 0.000 1.579
Th -0.006 2.083 5.633
Th 5.012 2.083 1.661
Th 3.876 0.000 5.715
Sb -1.221 0.000 3.647
Ru 0.000 2.083 0.000
Se 3.725 0.000 0.000
Se 2.503 2.083 3.647
CELL_PARAMETERS angstrom
7.449 0.000 0.000
0.000 4.166 0.000
-2.443 0.000 7.294
```

## Properties
Volume: 226 Å³/cell
Crystal system: monoclinic
N(E_F): 6.448 states/eV/cell
Raw total energy: -58.82 eV/cell
ΔE_f (raw): -1.096 eV/atom

Record 2
First-principles (PBE) data for an optimized crystal structure of Th6SbRu2Se3, as listed in the Alexandria database. Values from VASP.

Cell and atoms, written as Quantum ESPRESSO input:
```
&SYSTEM
  ibrav = 0, nat = 12, ntyp = 4
/
ATOMIC_SPECIES
Th 232.04 Th.upf
Sb 121.76 Sb.upf
Ru 101.07 Ru.upf
Se 78.96 Se.upf
ATOMIC_POSITIONS angstrom
Th -0.334 0.000 2.309
Th 5.102 0.000 3.718
Th 4.122 0.000 7.547
Th 12.351 0.000 1.004
Th 11.370 0.000 4.833
Th 16.807 0.000 6.242
Sb 9.348 0.000 0.000
Ru 2.434 0.000 2.875
Ru 14.038 0.000 5.676
Se 1.070 0.000 7.142
Se 8.236 0.000 4.276
Se 15.403 0.000 1.409
CELL_PARAMETERS angstrom
9.348 -2.087 0.000
9.348 2.087 0.000
-2.223 0.000 8.551
```

## Properties
Volume: 334 Å³/cell
Crystal system: monoclinic
N(E_F): 7.876 states/eV/cell
Raw total energy: -90.80 eV/cell
ΔE_f (raw): -1.097 eV/atom

Record 3
First-principles (PBE) data for an optimized crystal structure of SiSbRu, as listed in the Alexandria database. Values from VASP.

Cell and atoms, written as Quantum ESPRESSO input:
```
&SYSTEM
  ibrav = 0, nat = 3, ntyp = 3
/
ATOMIC_SPECIES
Si 28.09 Si.upf
Sb 121.76 Sb.upf
Ru 101.07 Ru.upf
ATOMIC_POSITIONS angstrom
Si 0.000 0.000 0.000
Sb 0.000 1.881 3.519
Ru 1.629 0.941 1.526
CELL_PARAMETERS angstrom
3.258 0.000 0.000
-1.629 2.822 0.000
0.000 0.000 5.818
```

## Properties
Polymorph energy (0 for the lowest one): 53.9 meV per atom
Volume: 53 Å³/cell
Crystal system: trigonal
N(E_F): 1.863 states/eV/cell
Raw total energy: -18.84 eV/cell
ΔE_f (raw): -0.006 eV/atom

Record 4
First-principles (PBE) data for an optimized crystal structure of SiSbRu, as listed in the Alexandria database. Values from VASP.

Cell and atoms, written as Quantum ESPRESSO input:
```
&SYSTEM
  ibrav = 0, nat = 3, ntyp = 3
/
ATOMIC_SPECIES
Si 28.09 Si.upf
Sb 121.76 Sb.upf
Ru 101.07 Ru.upf
ATOMIC_POSITIONS angstrom
Si 0.000 0.000 0.000
Sb 0.000 0.000 3.247
Ru 0.000 0.000 7.177
CELL_PARAMETERS angstrom
-1.514 1.514 5.898
1.514 -1.514 5.898
1.514 1.514 -5.898
```

## Properties
Polymorph energy (0 for the lowest one): 68.8 meV per atom
Volume: 54 Å³/cell
Crystal system: tetragonal
N(E_F): 1.604 states/eV/cell
Raw total energy: -18.79 eV/cell
ΔE_f (raw): 0.009 eV/atom

Record 5
First-principles (PBE) data for an optimized crystal structure of Si2SbRu2, as listed in the Alexandria database. Values from VASP.

Cell and atoms, written as Quantum ESPRESSO input:
```
&SYSTEM
  ibrav = 0, nat = 5, ntyp = 3
/
ATOMIC_SPECIES
Si 28.09 Si.upf
Sb 121.76 Sb.upf
Ru 101.07 Ru.upf
ATOMIC_POSITIONS angstrom
Si 1.807 0.000 3.060
Si 0.000 1.807 3.060
Sb 0.000 0.000 0.000
Ru 0.000 0.000 4.656
Ru 0.000 0.000 7.585
CELL_PARAMETERS angstrom
-1.807 1.807 6.120
1.807 -1.807 6.120
1.807 1.807 -6.120
```

## Properties
Polymorph energy (0 for the lowest one): 0.0 meV per atom
Volume: 80 Å³/cell
Crystal system: tetragonal
N(E_F): 2.369 states/eV/cell
Raw total energy: -35.27 eV/cell
ΔE_f (raw): -0.350 eV/atom

Record 6
First-principles (PBE) data for an optimized crystal structure of SiSb3Ru, as listed in the Alexandria database. Values from VASP.

Cell and atoms, written as Quantum ESPRESSO input:
```
&SYSTEM
  ibrav = 0, nat = 5, ntyp = 3
/
ATOMIC_SPECIES
Si 28.09 Si.upf
Sb 121.76 Sb.upf
Ru 101.07 Ru.upf
ATOMIC_POSITIONS angstrom
Si 0.000 0.000 0.000
Sb 0.000 0.000 2.529
Sb 0.000 2.529 0.000
Sb 2.529 0.000 0.000
Ru 2.529 2.529 2.529
CELL_PARAMETERS angstrom
5.058 0.000 0.000
0.000 5.058 0.000
0.000 0.000 5.058
```

## Properties
Polymorph energy (0 for the lowest one): 524.2 meV per atom
Volume: 129 Å³/cell
Crystal system: cubic
N(E_F): 8.562 states/eV/cell
Raw total energy: -20.96 eV/cell
ΔE_f (raw): 1.220 eV/atom

Record 7
First-principles (PBE) data for an optimized crystal structure of Si2SbRu2, as listed in the Alexandria database. Values from VASP.

Cell and atoms, written as Quantum ESPRESSO input:
```
&SYSTEM
  ibrav = 0, nat = 10, ntyp = 3
/
ATOMIC_SPECIES
Si 28.09 Si.upf
Sb 121.76 Sb.upf
Ru 101.07 Ru.upf
ATOMIC_POSITIONS angstrom
Si 0.986 2.654 0.000
Si 2.654 6.294 0.000
Si 4.626 0.986 0.000
Si 6.294 4.626 0.000
Sb 0.000 0.000 1.446
Sb 3.640 3.640 1.446
Ru 1.101 4.741 1.446
Ru 2.539 1.101 1.446
Ru 4.741 6.180 1.446
Ru 6.180 2.539 1.446
CELL_PARAMETERS angstrom
7.280 0.000 0.000
0.000 7.280 0.000
0.000 0.000 2.891
```

## Properties
Polymorph energy (0 for the lowest one): 108.1 meV per atom
Volume: 153 Å³/cell
Crystal system: tetragonal
N(E_F): 3.940 states/eV/cell
Raw total energy: -69.46 eV/cell
ΔE_f (raw): -0.242 eV/atom

Record 8
First-principles (PBE) data for an optimized crystal structure of SiSbRu3, as listed in the Alexandria database. Values from VASP.

Cell and atoms, written as Quantum ESPRESSO input:
```
&SYSTEM
  ibrav = 0, nat = 5, ntyp = 3
/
ATOMIC_SPECIES
Si 28.09 Si.upf
Sb 121.76 Sb.upf
Ru 101.07 Ru.upf
ATOMIC_POSITIONS angstrom
Si 0.000 0.000 0.000
Sb 2.410 2.410 2.410
Ru 0.000 2.410 2.410
Ru 2.410 0.000 2.410
Ru 2.410 2.410 0.000
CELL_PARAMETERS angstrom
4.821 0.000 0.000
0.000 4.821 0.000
0.000 0.000 4.821
```

## Properties
Polymorph energy (0 for the lowest one): 1267.6 meV per atom
Volume: 112 Å³/cell
Crystal system: cubic
N(E_F): 6.846 states/eV/cell
Raw total energy: -28.45 eV/cell
ΔE_f (raw): 1.785 eV/atom

Record 9
First-principles (PBE) data for an optimized crystal structure of SiSbRu3, as listed in the Alexandria database. Values from VASP.

Cell and atoms, written as Quantum ESPRESSO input:
```
&SYSTEM
  ibrav = 0, nat = 5, ntyp = 3
/
ATOMIC_SPECIES
Si 28.09 Si.upf
Sb 121.76 Sb.upf
Ru 101.07 Ru.upf
ATOMIC_POSITIONS angstrom
Si 0.000 0.000 0.000
Sb 2.208 2.208 2.208
Ru 0.000 0.000 2.208
Ru 0.000 2.208 0.000
Ru 2.208 0.000 0.000
CELL_PARAMETERS angstrom
4.416 0.000 0.000
0.000 4.416 0.000
0.000 0.000 4.416
```

## Properties
Polymorph energy (0 for the lowest one): 0.0 meV per atom
Volume: 86 Å³/cell
Crystal system: cubic
N(E_F): 6.248 states/eV/cell
Raw total energy: -34.78 eV/cell
ΔE_f (raw): 0.518 eV/atom

Record 10
First-principles (PBE) data for an optimized crystal structure of SiSbRu, as listed in the Alexandria database. Values from VASP.

Cell and atoms, written as Quantum ESPRESSO input:
```
&SYSTEM
  ibrav = 0, nat = 3, ntyp = 3
/
ATOMIC_SPECIES
Si 28.09 Si.upf
Sb 121.76 Sb.upf
Ru 101.07 Ru.upf
ATOMIC_POSITIONS angstrom
Si 0.000 0.000 0.000
Sb 1.519 1.519 1.519
Ru 4.556 4.556 4.556
CELL_PARAMETERS angstrom
0.000 3.038 3.038
3.038 0.000 3.038
3.038 3.038 0.000
```

## Properties
Polymorph energy (0 for the lowest one): 526.8 meV per atom
Volume: 56 Å³/cell
Crystal system: cubic
N(E_F): 3.652 states/eV/cell
Raw total energy: -17.42 eV/cell
ΔE_f (raw): 0.467 eV/atom

Record 11
First-principles (PBE) data for an optimized crystal structure of SiSbRu, as listed in the Alexandria database. Values from VASP.

Cell and atoms, written as Quantum ESPRESSO input:
```
&SYSTEM
  ibrav = 0, nat = 3, ntyp = 3
/
ATOMIC_SPECIES
Si 28.09 Si.upf
Sb 121.76 Sb.upf
Ru 101.07 Ru.upf
ATOMIC_POSITIONS angstrom
Si 0.000 0.000 0.000
Sb 2.083 1.203 1.830
Ru 0.000 2.405 0.000
CELL_PARAMETERS angstrom
4.166 0.000 0.000
-2.083 3.608 0.000
0.000 0.000 3.659
```

## Properties
Polymorph energy (0 for the lowest one): 224.4 meV per atom
Volume: 55 Å³/cell
Crystal system: hexagonal
N(E_F): 2.035 states/eV/cell
Raw total energy: -18.33 eV/cell
ΔE_f (raw): 0.165 eV/atom

Record 12
First-principles (PBE) data for an optimized crystal structure of Si2SbRu4, as listed in the Alexandria database. Values from VASP.

Cell and atoms, written as Quantum ESPRESSO input:
```
&SYSTEM
  ibrav = 0, nat = 7, ntyp = 3
/
ATOMIC_SPECIES
Si 28.09 Si.upf
Sb 121.76 Sb.upf
Ru 101.07 Ru.upf
ATOMIC_POSITIONS angstrom
Si 0.000 0.000 1.220
Si 0.000 0.000 10.808
Sb 0.000 0.000 6.014
Ru 2.379 0.000 0.000
Ru 0.000 0.000 3.451
Ru 0.000 2.379 0.000
Ru 0.000 0.000 8.577
CELL_PARAMETERS angstrom
-2.379 2.379 6.014
2.379 -2.379 6.014
2.379 2.379 -6.014
```

## Properties
Volume: 136 Å³/cell
Crystal system: tetragonal
N(E_F): 3.824 states/eV/cell
Raw total energy: -44.61 eV/cell
ΔE_f (raw): 1.066 eV/atom